Record 1
DFT (GGA-PBE) results for a relaxed structure of NdY2Ru.

Geometry as CIF:
```
data_NdY2Ru
_chemical_formula_sum 'Nd3 Y6 Ru3'
_cell_length_a 3.5369
_cell_length_b 3.5369
_cell_length_c 32.5446
_cell_angle_alpha 90.00
_cell_angle_beta 90.00
_cell_angle_gamma 120.00
_space_group_name_H-M_alt 'R -3 m'
_space_group_IT_number 166
_space_group_name_Hall '-R 3 2"'
loop_
_atom_site_label
_atom_site_type_symbol
_atom_site_fract_x
_atom_site_fract_y
_atom_site_fract_z
Nd1 Nd 0.0000 0.0000 0.0000
Y1 Y 0.0000 0.0000 0.1085
Ru1 Ru 0.0000 0.0000 0.5000
```

**Energy**: -6.6269 eV per atom
**DFT formation energy**: 0.12 eV per atom
**Theoretical density**: 6.0 g/cm3
**ΔE to the lowest computed polymorph**: 382 meV per atom
**N(E_F)**: 1.569 states/eV/atom

***

Record 2
DFT (GGA-PBE) results for a relaxed structure of Nd2Y7Tm12.

Geometry as CIF:
```
data_Nd2Y7Tm12
_chemical_formula_sum 'Nd2 Y7 Tm12'
_cell_length_a 12.0583
_cell_length_b 12.0583
_cell_length_c 5.5129
_cell_angle_alpha 90.00
_cell_angle_beta 90.00
_cell_angle_gamma 120.00
_space_group_name_H-M_alt 'P -6'
_space_group_IT_number 174
loop_
_space_group_symop_operation_xyz
'x,y,z'
'-x+y,-x,-z'
'-y,x-y,z'
'x,y,-z'
'-x+y,-x,z'
'-y,x-y,-z'
loop_
_atom_site_label
_atom_site_type_symbol
_atom_site_fract_x
_atom_site_fract_y
_atom_site_fract_z
Nd1 Nd 0.0000 0.0000 0.0000
Nd2 Nd 0.3333 0.6667 0.5000
Y1 Y 0.0048 0.1782 0.5000
Y2 Y 0.0115 0.4943 0.0000
Y3 Y 0.6667 0.3333 0.0000
Tm1 Tm 0.1725 0.8159 0.0000
Tm2 Tm 0.3345 0.1786 0.0000
Tm3 Tm 0.3396 0.3385 0.5000
Tm4 Tm 0.5001 0.1719 0.5000
```

**Energy**: -4.9881 eV per atom
**DFT formation energy**: 0.18 eV per atom
**Theoretical density**: 7.0 g/cm3
**N(E_F)**: 1.699 states/eV/atom